Entry 1:
## EuMg3Ni (GGA-PBE)

Data for a geometry-optimized EuMg3Ni structure.

Output
SG	No. 221
electronic total energy	-21.2	eV per cell
energy of formation from the pure elements	-76.1	meV per atom

Geometry as POSCAR:
```
EuMg3Ni
1.0
-1.874 0.684 4.522
-1.342 -4.754 0.163
4.373 -1.166 1.988
Mg Eu Ni
3 1 1
Direct
0.000 0.500 0.000
0.000 0.000 0.500
0.500 0.000 0.000
0.500 0.500 0.500
0.000 0.000 0.000
```

Entry 2:
## Eu2MgNi (GGA-PBE)

Data for a geometry-optimized Eu2MgNi structure.

Output
SG	No. 123
electronic total energy	-28.1	eV per cell
energy of formation from the pure elements	-54.6	meV per atom
energy relative to the lowest polymorph listed for this composition	0	meV/atom

Geometry as POSCAR:
```
Eu2MgNi
1.0
-1.823 0.425 -3.035
-2.829 -1.592 1.476
-2.765 7.412 2.697
Mg Eu Ni
1 2 1
Direct
0.500 0.500 0.500
0.000 0.000 0.203
0.000 0.000 0.797
0.500 0.500 0.000
```

Entry 3:
## EuMgNi2 (GGA-PBE)

Data for a geometry-optimized EuMgNi2 structure.

Output
SG	No. 123
electronic total energy	-23.6	eV per cell
energy of formation from the pure elements	-33.5	meV per atom

Geometry as POSCAR:
```
EuMgNi2
1.0
-1.828 -1.958 1.918
0.403 -2.472 -2.140
5.367 -1.887 3.190
Ni Eu Mg
2 1 1
Direct
0.000 0.000 0.198
0.000 0.000 0.802
0.500 0.500 0.500
0.500 0.500 0.000
```

Entry 4:
## Eu2MgNi (GGA-PBE)

Data for a geometry-optimized Eu2MgNi structure.

Output
SG	No. 225
electronic total energy	-27.7	eV per cell
energy of formation from the pure elements	50.0	meV per atom
energy relative to the lowest polymorph listed for this composition	105	meV/atom

Geometry as POSCAR:
```
Eu2MgNi
1.0
5.293 0.000 0.000
2.647 4.584 0.000
2.647 1.528 4.322
Mg Eu Ni
1 2 1
Direct
0.000 0.000 0.000
0.250 0.250 0.250
0.750 0.750 0.750
0.500 0.500 0.500
```

Entry 5:
## Eu2MgNi (GGA-PBE)

Data for a geometry-optimized Eu2MgNi structure.

Output
SG	No. 166
electronic total energy	-27.2	eV per cell
energy of formation from the pure elements	182.9	meV per atom
energy relative to the lowest polymorph listed for this composition	237	meV/atom

Geometry as POSCAR:
```
Eu2MgNi
1.0
3.826 0.000 0.000
1.913 3.313 0.000
1.913 1.104 10.419
Ni Eu Mg
1 2 1
Direct
0.500 0.500 0.500
0.888 0.888 0.335
0.112 0.112 0.665
0.000 0.000 0.000
```

Entry 6:
## PmEuMgNi (GGA-PBE)

Data for a geometry-optimized PmEuMgNi structure.

Output
SG	No. 216
electronic total energy	-22.4	eV per cell
energy of formation from the pure elements	1.8	meV per atom

Geometry as POSCAR:
```
PmEuMgNi
1.0
5.222 0.000 0.000
2.611 4.522 0.000
2.611 1.507 4.263
Pm Mg Ni Eu
1 1 1 1
Direct
0.250 0.250 0.250
0.500 0.500 0.500
0.000 0.000 0.000
0.750 0.750 0.750
```

Entry 7:
## EuMgTlNi (GGA-PBE)

Data for a geometry-optimized EuMgTlNi structure.

Output
SG	No. 216
electronic total energy	-20.1	eV per cell
energy of formation from the pure elements	-30.3	meV per atom

Geometry as POSCAR:
```
EuMgTlNi
1.0
5.047 0.000 0.000
2.524 4.371 0.000
2.524 1.457 4.121
Mg Eu Ni Tl
1 1 1 1
Direct
0.000 0.000 0.000
0.500 0.500 0.500
0.250 0.250 0.250
0.750 0.750 0.750
```

Entry 8:
## EuMgO2 (GGA-PBE)

Data for a geometry-optimized EuMgO2 structure.

Output
SG	No. 166
electronic total energy	-32.0	eV per cell

Geometry as POSCAR:
```
EuMgO2
1.0
3.300 0.000 0.000
1.650 2.858 0.000
1.650 0.953 5.525
O Eu Mg
2 1 1
Direct
0.263 0.263 0.212
0.737 0.737 0.788
0.500 0.500 0.500
0.000 0.000 0.000
```